CsCd12Sb7 | GGA-PBE | relaxed

Computed properties:
**Spin magnetization**: 0.00 μB per formula unit
**Uncorrected formation energy**: 1.143 eV/f.u.

Lattice parameters (Å, degrees): 6.842 10.618 10.618 64.48 77.60 102.40
Element x y z (fractional)
Cs 0.000 0.000 0.000
Cd 0.956 0.584 0.145
Cd 0.898 0.855 0.729
Cd 0.505 0.290 0.005
Cd 0.490 0.995 0.295
Cd 0.627 0.729 0.416
Cd 0.786 0.295 0.710
Cd 0.214 0.705 0.290
Cd 0.373 0.271 0.584
Cd 0.510 0.005 0.705
Cd 0.495 0.710 0.995
Cd 0.102 0.145 0.271
Cd 0.044 0.416 0.855
Sb 0.799 0.288 0.173
Sb 0.027 0.827 0.461
Sb 0.488 0.461 0.712
Sb 0.500 0.000 0.000
Sb 0.512 0.539 0.288
Sb 0.973 0.173 0.539
Sb 0.201 0.712 0.827